Here is an optimized crystal structure of Na11TiNb2Si4P2O25F from Alexandria. Energies are from GGA-PBE.

Calculated values
* V: 12.8 Å³ per atom
* formation energy (no corrections): -2473 meV/atom

Lattice parameters (Å, degrees): 5.583 7.242 14.677 92.49 95.48 90.73
Space group P1 (No. 1)
One atom of each set of equivalent atoms:
Na 0.000 0.000 0.000 [1 per cell]
Na 0.005 0.525 0.995 [1 per cell]
Na 0.220 0.751 0.235 [1 per cell]
Na 0.268 0.025 0.424 [1 per cell]
Na 0.320 0.254 0.634 [1 per cell]
Na 0.330 0.778 0.603 [1 per cell]
Na 0.510 0.262 0.000 [1 per cell]
Na 0.697 0.743 0.398 [1 per cell]
Na 0.706 0.267 0.367 [1 per cell]
Na 0.758 0.497 0.577 [1 per cell]
Na 0.803 0.770 0.767 [1 per cell]
Ti 0.484 0.762 0.009 [1 per cell]
Nb 0.212 0.268 0.216 [1 per cell]
Nb 0.814 0.252 0.784 [1 per cell]
Si 0.314 0.965 0.816 [1 per cell]
Si 0.332 0.542 0.805 [1 per cell]
Si 0.696 0.980 0.197 [1 per cell]
Si 0.713 0.555 0.185 [1 per cell]
P 0.202 0.505 0.434 [1 per cell]
P 0.825 0.016 0.568 [1 per cell]
O 0.051 0.047 0.782 [1 per cell]
O 0.083 0.434 0.760 [1 per cell]
O 0.100 0.018 0.559 [1 per cell]
O 0.190 0.245 0.093 [1 per cell]
O 0.249 0.757 0.076 [1 per cell]
O 0.262 0.330 0.371 [1 per cell]
O 0.280 0.688 0.392 [1 per cell]
O 0.309 0.754 0.766 [1 per cell]
O 0.341 0.488 0.530 [1 per cell]
O 0.353 0.959 0.926 [1 per cell]
O 0.354 0.552 0.916 [1 per cell]
O 0.461 0.062 0.245 [1 per cell]
O 0.499 0.445 0.228 [1 per cell]
O 0.526 0.076 0.772 [1 per cell]
O 0.566 0.459 0.757 [1 per cell]
O 0.672 0.970 0.086 [1 per cell]
O 0.676 0.564 0.074 [1 per cell]
O 0.685 0.033 0.472 [1 per cell]
O 0.719 0.766 0.236 [1 per cell]
O 0.748 0.833 0.610 [1 per cell]
O 0.766 0.191 0.630 [1 per cell]
O 0.832 0.272 0.907 [1 per cell]
O 0.927 0.503 0.442 [1 per cell]
O 0.945 0.086 0.243 [1 per cell]
O 0.974 0.472 0.219 [1 per cell]
F 0.785 0.764 0.922 [1 per cell]

=====

Here is an optimized crystal structure of NaNbOsF2 from Alexandria. Energies are from GGA-PBE.

Calculated values
* V: 20.1 Å³ per atom
* formation energy (no corrections): 326 meV/atom

Lattice parameters (Å, degrees): 4.032 4.032 6.185 90.00 90.00 90.00
Space group P4/mmm (No. 123)
One atom of each set of equivalent atoms:
Na 0.000 0.000 0.000 [1 per cell]
Nb 0.000 0.000 0.500 [1 per cell]
Os 0.500 0.500 0.000 [1 per cell]
F 0.000 0.500 0.500 [2 per cell]

=====

Energy for the records above, in order: -314.6 -24.7 eV/f.u.